Record 1
Here is a relaxed Ba2CaRe crystal from Alexandria. Energies are from PBE.

Values from the calculation:
* energy relative to the lowest polymorph listed for this composition: 0.153 eV/atom
* calculated formation energy: 359 kJ/mol of formula units
* space-group type: I-42d, No. 122
* E: -3.64 eV per atom

Cell: 11.1267 11.1267 8.3895 Å, 48.46 48.46 90.00°
With the nearest neighbours (Å) after each atom.
Element x y z (fractional)
1 Re 0.0000 0.0000 0.0000  2 Ca 2.91, 4 Ba 3.10
2 Re 0.7500 0.2500 0.5000  2 Ca 2.91, 4 Ba 3.10
3 Ca 0.5000 0.5000 0.0000  2 Re 2.91
4 Ca 0.2500 0.7500 0.5000  2 Re 2.91
5 Ba 0.7704 0.1250 0.2500  2 Re 3.10
6 Ba 0.9796 0.6250 0.2500  2 Re 3.10
7 Ba 0.3750 0.2296 0.7500  2 Re 3.10
8 Ba 0.8750 0.0204 0.7500  2 Re 3.10

Record 2
Here is a relaxed ZrBO3 crystal from Alexandria. Energies are from PBE.

Values from the calculation:
* formation energy from raw total energies: -1.660 eV/atom
* space-group type: Pm-3m, No. 221
* E: -7.68 eV per atom

Cell: 3.4176 3.4176 3.4176 Å, 90.00 90.00 90.00°
With the nearest neighbours (Å) after each atom.
Element x y z (fractional)
1 B 0.0000 0.0000 0.0000  6 O 1.71
2 O 0.0000 0.5000 0.0000  2 B 1.71
3 O 0.0000 0.0000 0.5000  2 B 1.71
4 O 0.5000 0.0000 0.0000  2 B 1.71
5 Zr 0.5000 0.5000 0.5000  12 O 2.42

Record 3
Here is a relaxed EuSnH crystal from Alexandria. Energies are from PBE.

Values from the calculation:
* energy relative to the lowest polymorph listed for this composition: 0.023 eV/atom
* space-group type: I4mm, No. 107
* E: -6.18 eV per atom

Cell: 3.2677 3.2677 6.4815 Å, 104.60 104.60 90.00°
With the nearest neighbours (Å) after each atom.
Element x y z (fractional)
1 Eu 0.7277 0.7277 0.4553  4 H 2.36
2 H 0.2681 0.2681 0.5362  4 Eu 2.36
3 Sn 0.0042 0.0042 0.0085  1 H 3.20, 4 Sn 3.27, 5 Eu 3.35-3.56

Record 4
Here is a relaxed HfTa3Re4 crystal from Alexandria. Energies are from PBE.

Values from the calculation:
* calculated formation energy: -321 kJ/mol of formula units
* space-group type: P4/mmm, No. 123
* E: -12.33 eV per atom

Cell: 4.5521 6.4350 9.1042 Å, 90.00 90.00 90.00°
With the nearest neighbours (Å) after each atom.
Element x y z (fractional)
1 Re 0.5000 0.7537 0.0000  6 Ta 2.77-2.80, 2 Hf 2.80
2 Re 0.5000 0.7537 0.5000  6 Ta 2.77-2.80, 2 Hf 2.80
3 Re 0.5000 0.2463 0.0000  6 Ta 2.77-2.80, 2 Hf 2.80
4 Re 0.5000 0.2463 0.5000  6 Ta 2.77-2.80, 2 Hf 2.80
5 Re 0.0000 0.7537 0.7500  6 Ta 2.77-2.80, 2 Hf 2.80
6 Re 0.0000 0.7537 0.2500  6 Ta 2.77-2.80, 2 Hf 2.80
7 Re 0.0000 0.2463 0.2500  6 Ta 2.77-2.80, 2 Hf 2.80
8 Re 0.0000 0.2463 0.7500  6 Ta 2.77-2.80, 2 Hf 2.80
9 Hf 0.0000 0.5000 0.0000  8 Re 2.80
10 Hf 0.0000 0.5000 0.5000  8 Re 2.80
11 Ta 0.0000 0.0000 0.0000  8 Re 2.77
12 Ta 0.0000 0.0000 0.5000  8 Re 2.77
13 Ta 0.5000 0.0000 0.7500  8 Re 2.77
14 Ta 0.5000 0.0000 0.2500  8 Re 2.77
15 Ta 0.5000 0.5000 0.7500  8 Re 2.80
16 Ta 0.5000 0.5000 0.2500  8 Re 2.80

Record 5
Here is a relaxed KTeIBr2 crystal from Alexandria. Energies are from PBE.

Values from the calculation:
* formation energy from raw total energies: -0.674 eV/atom
* space-group type: P4/mmm, No. 123
* E: -2.50 eV per atom

Cell: 5.7083 5.7083 6.4608 Å, 90.00 90.00 90.00°
With the nearest neighbours (Å) after each atom.
Element x y z (fractional)
1 I 0.0000 0.0000 0.5000  2 Te 3.23
2 K 0.5000 0.5000 0.5000  4 I 4.04, 8 Br 4.31
3 Te 0.0000 0.0000 0.0000  4 Br 2.85
4 Br 0.0000 0.5000 0.0000  2 Te 2.85
5 Br 0.5000 0.0000 0.0000  2 Te 2.85

Record 6
Here is a relaxed CeTlAg2Se4 crystal from Alexandria. Energies are from PBE.

Values from the calculation:
* formation energy from raw total energies: -0.578 eV/atom
* space-group type: I222, No. 23
* E: -4.07 eV per atom

Cell: 7.1407 6.4788 6.4788 Å, 70.20 56.56 56.56°
With the nearest neighbours (Å) after each atom.
Element x y z (fractional)
1 Ce 0.5000 0.5000 0.5000  4 Se 2.84
2 Tl 0.0000 0.0000 0.0000  4 Se 3.07
3 Ag 0.1885 0.3115 0.3115  4 Se 2.59-2.76
4 Ag 0.8115 0.6885 0.6885  4 Se 2.59-2.76
5 Se 0.4483 0.0775 0.5540  2 Ag 2.59-2.76, 1 Ce 2.84
6 Se 0.0797 0.9225 0.4460  2 Ag 2.59-2.76, 1 Ce 2.84
7 Se 0.9203 0.5540 0.0775  2 Ag 2.59-2.76, 1 Ce 2.84
8 Se 0.5517 0.4460 0.9225  2 Ag 2.59-2.76, 1 Ce 2.84

Record 7
Here is a relaxed Li4Dy3Ga4 crystal from Alexandria. Energies are from PBE.

Values from the calculation:
* energy relative to the lowest polymorph listed for this composition: 0.014 eV/atom
* calculated formation energy: -383 kJ/mol of formula units
* space-group type: Immm, No. 71
* E: -3.41 eV per atom

Cell: 4.5255 6.7364 8.2949 Å, 113.96 105.83 90.00°
With the nearest neighbours (Å) after each atom.
Element x y z (fractional)
1 Li 0.3276 0.1372 0.6553  1 Li 2.57, 4 Ga 2.62-2.67
2 Li 0.6724 0.4819 0.3447  1 Li 2.57, 4 Ga 2.62-2.67
3 Li 0.6724 0.8628 0.3447  1 Li 2.57, 4 Ga 2.62-2.67
4 Li 0.3276 0.5181 0.6553  1 Li 2.57, 4 Ga 2.62-2.67
5 Dy 0.1220 0.1220 0.2440  6 Ga 3.15-3.28, 6 Li 3.16-3.24
6 Dy 0.8780 0.8780 0.7560  6 Ga 3.15-3.28, 6 Li 3.16-3.24
7 Dy 0.0000 0.5000 0.0000  6 Ga 3.07-3.10
8 Ga 0.2143 0.7143 0.4286  6 Li 2.65-2.67
9 Ga 0.7857 0.2857 0.5714  6 Li 2.65-2.67
10 Ga 0.5000 0.8073 0.0000  1 Ga 2.60, 2 Li 2.62
11 Ga 0.5000 0.1927 0.0000  1 Ga 2.60, 2 Li 2.62

Record 8
Here is a relaxed LaPmSe2Cl crystal from Alexandria. Energies are from PBE.

Values from the calculation:
* formation energy from raw total energies: -1.954 eV/atom
* space-group type: P4/nmm, No. 129
* E: -5.65 eV per atom

Cell: 4.2747 4.2747 14.2469 Å, 90.00 90.00 90.00°
With the nearest neighbours (Å) after each atom.
Element x y z (fractional)
1 La 0.5000 0.0000 0.0960  6 Se 2.99-3.15
2 La 0.0000 0.5000 0.9040  6 Se 2.99-3.15
3 Pm 0.5000 0.0000 0.6428  4 Cl 2.95, 4 Se 3.11
4 Pm 0.0000 0.5000 0.3572  4 Cl 2.95, 4 Se 3.11
5 Se 0.0000 0.5000 0.6943  1 La 2.99, 4 Pm 3.11
6 Se 0.0000 0.5000 0.1250  5 La 3.05-3.15, 1 Pm 3.31
7 Se 0.5000 0.0000 0.8750  5 La 3.05-3.15, 1 Pm 3.31
8 Se 0.5000 0.0000 0.3057  1 La 2.99, 4 Pm 3.11
9 Cl 0.0000 0.0000 0.5000  4 Pm 2.95, 4 Cl 3.02
10 Cl 0.5000 0.5000 0.5000  4 Pm 2.95, 4 Cl 3.02

no.,theoretical density (Mg/m³)
1,4.614
2,6.241
3,6.977
4,18.258
5,3.576
6,6.979
7,5.979
8,6.089